1.
The following is a PBE-GGA calculation of a geometry-optimized Ga2CuAs2 structure, from Alexandria via LeMat-Bulk.

Output
For the volume, the calculation gives 20.085 Å³/atom. The space group is No. 127. As for the formation energy: 0.139 eV/atom. As for the total energy: -3.7507 eV per atom.

Lattice parameters (Å, degrees): 7.1248 7.1248 3.9567 90.00 90.00 90.00
Positions (direct):
Ga (0.6252, 0.8748, 0.5000)
As (0.2813, 0.7813, 0.0000)
Cu (0.5000, 0.5000, 0.0000)
As (0.2187, 0.2813, 0.0000)
Ga (0.8748, 0.3748, 0.5000)
Ga (0.3748, 0.1252, 0.5000)
As (0.7187, 0.2187, 0.0000)
Ga (0.1252, 0.6252, 0.5000)
Cu (0.0000, 0.0000, 0.0000)
As (0.7813, 0.7187, 0.0000)

***

2.
The following is a PBE-GGA calculation of a geometry-optimized LaSmTh3 structure, from Alexandria via LeMat-Bulk.

Output
For the volume, the calculation gives 36.142 Å³/atom. The space group is No. 74. As for the formation energy: 0.330 eV/atom. As for the total energy: -6.0515 eV per atom.

Lattice parameters (Å, degrees): 6.0463 11.9384 8.3571 135.58 111.21 90.00
Positions (direct):
Th (0.3310, 0.8310, 0.1620)
La (0.5000, 0.0000, 0.0000)
Th (0.3310, 0.3310, 0.1620)
Th (0.6690, 0.6690, 0.8380)
Th (0.0000, 0.5000, 0.5000)
Th (0.6690, 0.1690, 0.8380)
Sm (0.2984, 0.2500, 0.5000)
La (0.0000, 0.5000, 0.0000)
Th (0.0000, 0.0000, 0.5000)
Sm (0.7016, 0.7500, 0.5000)

***

3.
The following is a PBE-GGA calculation of a geometry-optimized IrCS2 structure, from Alexandria via LeMat-Bulk.

Output
For the volume, the calculation gives 13.163 Å³/atom. The space group is No. 166. As for the total energy: -5.4272 eV per atom. The calculation puts the raw formation energy at 1.16 eV per atom.

Lattice parameters (Å, degrees): 7.0502 7.0502 7.0502 24.42 24.42 24.42
Positions (direct):
S (0.8917, 0.8917, 0.8917)
Ir (0.0000, 0.0000, 0.0000)
S (0.1083, 0.1083, 0.1083)
C (0.5000, 0.5000, 0.5000)

***

4.
The following is a PBE-GGA calculation of a geometry-optimized TlZnW structure, from Alexandria via LeMat-Bulk.

Output
For the volume, the calculation gives 18.860 Å³/atom. The space group is No. 156. The value obtained for the offset from the most stable computed form is 0.0000 eV/atom. As for the formation energy: 0.690 eV/atom. As for the total energy: -4.8413 eV per atom.

Lattice parameters (Å, degrees): 2.9873 2.9873 7.3209 90.00 90.00 120.00
Positions (direct):
Tl (0.0000, 0.0000, 0.0023)
W (0.6667, 0.3333, 0.3534)
Zn (0.3333, 0.6667, 0.6443)

***

5.
The following is a PBE-GGA calculation of a geometry-optimized Al2SiPd2 structure, from Alexandria via LeMat-Bulk.

Output
For the volume, the calculation gives 15.413 Å³/atom. The space group is No. 127. The value obtained for the offset from the most stable computed form is 0.0000 eV/atom. As for the total energy: -5.1335 eV per atom. The calculation puts the raw formation energy at -0.47 eV per atom.

Lattice parameters (Å, degrees): 7.3151 7.3151 2.8803 90.00 90.00 90.00
Positions (direct):
Si (0.0000, 0.0000, 0.0000)
Pd (0.8580, 0.6420, 0.0000)
Si (0.5000, 0.5000, 0.0000)
Al (0.6562, 0.8438, 0.5000)
Pd (0.6420, 0.1420, 0.0000)
Al (0.8438, 0.3438, 0.5000)
Al (0.3438, 0.1562, 0.5000)
Pd (0.3580, 0.8580, 0.0000)
Pd (0.1420, 0.3580, 0.0000)
Al (0.1562, 0.6562, 0.5000)

***

6.
The following is a PBE-GGA calculation of a geometry-optimized SmMnIn structure, from Alexandria via LeMat-Bulk.

Output
For the volume, the calculation gives 24.325 Å³/atom. The space group is No. 187. As for the formation energy: -0.090 eV/atom. As for the total energy: -5.6328 eV per atom.

Lattice parameters (Å, degrees): 4.8216 4.8216 3.6246 90.00 90.00 120.00
Each line ends with the local moment (μB).
Positions (direct):
Sm (0.6667, 0.3333, 0.0000)  -0.17
Mn (0.0000, 0.0000, 0.5000)  3.76
In (0.3333, 0.6667, 0.5000)  -0.04